(1)
Below is Ho2PaMoO8 after structural relaxation, with properties calculated at the PBE+U level.

Calculated values
Symmetry: No. 10
VASP energy, eV/atom: -8.50

```
data_Ho2PaMoO8
_chemical_formula_sum 'Ho2 Pa1 Mo1 O8'
_cell_length_a 5.015
_cell_length_b 6.831
_cell_length_c 5.016
_cell_angle_alpha 90.00
_cell_angle_beta 91.45
_cell_angle_gamma 90.00
_space_group_name_H-M_alt 'P 1'
_space_group_IT_number 1
_space_group_name_Hall 'P 1'
loop_
_atom_site_label
_atom_site_type_symbol
_atom_site_fract_x
_atom_site_fract_y
_atom_site_fract_z
Ho1 Ho 0.000 0.244 0.000
Ho2 Ho 0.000 0.756 0.000
Pa1 Pa 0.500 0.500 0.500
Mo1 Mo 0.500 0.000 0.500
O1 O 0.196 0.500 0.198
O2 O 0.224 0.000 0.226
O3 O 0.316 0.235 0.685
O4 O 0.316 0.765 0.685
O5 O 0.684 0.235 0.315
O6 O 0.684 0.765 0.315
O7 O 0.776 0.000 0.774
O8 O 0.804 0.500 0.802
```

(2)
Below is CoReOsSeO after structural relaxation, with properties calculated at the PBE+U level.

Calculated values
Symmetry: No. 38
VASP energy, eV/atom: -7.48

```
data_CoReOsSeO
_chemical_formula_sum 'Co1 Re1 Os1 Se1 O1'
_cell_length_a 2.797
_cell_length_b 7.363
_cell_length_c 7.363
_cell_angle_alpha 29.71
_cell_angle_beta 90.00
_cell_angle_gamma 90.00
_space_group_name_H-M_alt 'P 1'
_space_group_IT_number 1
_space_group_name_Hall 'P 1'
loop_
_atom_site_label
_atom_site_type_symbol
_atom_site_fract_x
_atom_site_fract_y
_atom_site_fract_z
Co1 Co 0.000 0.000 0.000
Re1 Re 0.500 0.385 0.385
Os1 Os 0.000 0.798 0.798
Se1 Se 0.000 0.175 0.175
O1 O 0.000 0.491 0.491
```